1.
A relaxed Y2TiBiH crystal, computed with PBE.

volume = 21.0 A^3/atom
DFT total energy = -5.93 eV/atom
crystal system = tetragonal
SG = No. 123

POSCAR file:
```
Y2TiBiH
1.0
5.027 0.000 0.000
0.000 5.027 0.000
0.000 0.000 4.151
Y H Bi Ti
2 1 1 1
direct
0.500 0.000 0.000
0.000 0.500 0.000
0.000 0.000 0.000
0.500 0.500 0.500
0.000 0.000 0.500
```



2.
A relaxed YTiBi2H crystal, computed with PBE.

volume = 36.0 A^3/atom
DFT total energy = -3.83 eV/atom
crystal system = tetragonal
SG = No. 123

POSCAR file:
```
YTiBi2H
1.0
5.853 0.000 0.000
0.000 5.250 0.000
0.000 0.000 5.853
H Bi Ti Y
1 2 1 1
direct
0.500 0.500 0.500
0.000 0.000 0.500
0.500 0.000 0.000
0.000 0.500 0.000
0.000 0.000 0.000
```



3.
A relaxed Ti7ZnBi2H2 crystal, computed with PBE.

volume = 15.7 A^3/atom
DFT total energy = -6.16 eV/atom
crystal system = monoclinic
SG = No. 12

POSCAR file:
```
Ti7ZnBi2H2
1.0
-0.975 -2.214 3.200
3.633 -1.702 -0.061
5.610 6.159 8.894
H Ti Bi Zn
2 7 2 1
direct
0.406 0.406 0.165
0.594 0.594 0.835
0.601 0.098 0.827
0.259 0.259 0.404
0.098 0.601 0.827
0.741 0.741 0.596
0.500 0.500 0.000
0.399 0.902 0.173
0.902 0.399 0.173
0.208 0.208 0.643
0.792 0.792 0.357
0.000 0.000 0.000
```



4.
A relaxed Tl3BiH8 crystal, computed with PBE.

volume = 20.0 A^3/atom
DFT total energy = -3.10 eV/atom
crystal system = monoclinic
SG = No. 8

POSCAR file:
```
Tl3BiH8
1.0
-9.289 5.387 3.236
-1.731 -4.632 -1.587
-8.009 0.804 5.880
H Tl Bi
8 3 1
direct
0.771 0.677 0.359
0.129 0.399 0.068
0.093 0.323 0.036
0.901 0.000 0.459
0.900 0.000 0.535
0.399 0.000 0.850
0.400 0.000 0.925
0.730 0.601 0.467
0.240 0.654 0.373
0.586 0.346 0.027
0.429 0.000 0.531
0.919 0.000 0.871
```



5.
A relaxed Tl12Bi3H5 crystal, computed with PBE.

volume = 27.6 A^3/atom
DFT total energy = -2.63 eV/atom
crystal system = cubic
SG = No. 230

POSCAR file:
```
Tl12Bi3H5
1.0
14.215 0.000 0.000
-4.738 13.402 0.000
-4.738 -6.701 11.606
Tl H Bi
48 20 12
direct
0.011 0.606 0.696
0.011 0.404 0.815
0.394 0.404 0.089
0.815 0.904 0.011
0.894 0.304 0.489
0.911 0.815 0.804
0.589 0.696 0.685
0.185 0.096 0.989
0.815 0.911 0.304
0.185 0.089 0.696
0.404 0.394 0.589
0.804 0.315 0.911
0.315 0.804 0.411
0.489 0.804 0.894
0.196 0.511 0.606
0.696 0.589 0.185
0.989 0.596 0.185
0.394 0.989 0.804
0.589 0.894 0.404
0.804 0.489 0.394
0.685 0.196 0.589
0.106 0.411 0.096
0.089 0.185 0.196
0.606 0.596 0.911
0.596 0.606 0.411
0.411 0.106 0.596
0.315 0.511 0.404
0.904 0.815 0.511
0.511 0.315 0.904
0.411 0.304 0.315
0.096 0.911 0.106
0.596 0.989 0.685
0.489 0.685 0.096
0.196 0.685 0.089
0.304 0.411 0.815
0.511 0.196 0.106
0.404 0.011 0.315
0.894 0.589 0.904
0.911 0.096 0.606
0.904 0.089 0.894
0.606 0.011 0.196
0.096 0.185 0.489
0.106 0.696 0.511
0.304 0.894 0.989
0.089 0.904 0.394
0.989 0.394 0.304
0.685 0.489 0.596
0.696 0.106 0.011
0.125 0.750 0.375
0.750 0.625 0.375
0.000 0.500 0.500
0.875 0.250 0.625
0.500 0.500 0.000
0.750 0.125 0.875
0.000 0.000 0.000
0.000 0.500 0.000
0.000 0.000 0.500
0.500 0.000 0.500
0.625 0.750 0.875
0.250 0.375 0.625
0.125 0.375 0.250
0.375 0.250 0.125
0.500 0.500 0.500
0.500 0.000 0.000
0.875 0.625 0.750
0.625 0.875 0.250
0.250 0.875 0.125
0.375 0.125 0.750
0.125 0.875 0.750
0.875 0.125 0.250
0.625 0.250 0.375
0.625 0.375 0.750
0.250 0.625 0.875
0.250 0.125 0.375
0.750 0.375 0.125
0.125 0.250 0.875
0.750 0.875 0.625
0.875 0.750 0.125
0.375 0.625 0.250
0.375 0.750 0.625
```



6.
A relaxed Tl2BiH6 crystal, computed with PBE.

volume = 15.8 A^3/atom
DFT total energy = -2.71 eV/atom
crystal system = trigonal
SG = No. 162

POSCAR file:
```
Tl2BiH6
1.0
4.724 0.001 0.000
0.000 5.101 -2.942
0.000 -0.005 5.889
H Tl Bi
6 2 1
direct
0.756 0.702 0.000
0.245 0.702 0.702
0.755 0.298 0.298
0.244 0.000 0.298
0.244 0.298 0.000
0.756 0.000 0.702
0.500 0.667 0.333
0.500 0.333 0.667
0.000 0.000 0.000
```



7.
A relaxed Tl3BiH4 crystal, computed with PBE.

volume = 19.4 A^3/atom
DFT total energy = -2.68 eV/atom
crystal system = orthorhombic
SG = No. 71

POSCAR file:
```
Tl3BiH4
1.0
-0.863 -1.279 3.146
-5.710 -1.762 -2.283
5.898 -4.631 -2.215
Tl H Bi
3 4 1
direct
0.277 0.277 0.554
0.723 0.723 0.446
0.000 0.500 0.000
0.399 0.154 0.799
0.399 0.645 0.799
0.601 0.355 0.201
0.601 0.846 0.201
0.500 0.000 0.000
```



8.
A relaxed TlBi3H crystal, computed with PBE.

volume = 41.8 A^3/atom
DFT total energy = -2.28 eV/atom
crystal system = cubic
SG = No. 221

POSCAR file:
```
TlBi3H
1.0
5.933 0.000 0.000
0.000 5.933 0.000
0.000 0.000 5.933
Bi H Tl
3 1 1
direct
0.500 0.000 0.000
0.000 0.000 0.500
0.000 0.500 0.000
0.500 0.500 0.500
0.000 0.000 0.000
```



9.
A relaxed TlBiH2 crystal, computed with PBE.

volume = 16.9 A^3/atom
DFT total energy = -2.52 eV/atom
crystal system = cubic
SG = No. 225

POSCAR file:
```
TlBiH2
1.0
1.846 -3.828 -1.681
-1.853 -4.058 0.992
-2.193 -2.364 -3.239
H Bi Tl
2 1 1
direct
0.250 0.250 0.250
0.750 0.750 0.750
0.500 0.500 0.500
0.000 0.000 0.000
```



10.
A relaxed TlBiH2 crystal, computed with PBE.

volume = 25.7 A^3/atom
DFT total energy = -3.22 eV/atom
crystal system = triclinic
SG = No. 1

POSCAR file:
```
TlBiH2
1.0
-7.297 2.409 4.876
-5.875 -1.386 8.101
3.257 2.617 1.646
Bi H Tl
2 4 2
direct
0.276 0.839 0.554
0.974 0.910 0.946
0.128 0.411 0.772
0.583 0.875 0.237
0.122 0.340 0.729
0.668 0.875 0.263
0.820 0.358 0.083
0.430 0.392 0.416
```



11.
A relaxed Tl4Bi3H4 crystal, computed with PBE.

volume = 25.3 A^3/atom
DFT total energy = -2.90 eV/atom
crystal system = triclinic
SG = No. 2

POSCAR file:
```
Tl4Bi3H4
1.0
-1.207 -2.569 5.297
-5.306 -1.556 -3.536
8.230 -3.271 -2.500
Bi H Tl
3 4 4
direct
0.000 0.500 0.000
0.049 0.087 0.255
0.951 0.913 0.745
0.708 0.018 0.100
0.094 0.928 0.589
0.292 0.982 0.900
0.906 0.072 0.411
0.677 0.288 0.558
0.323 0.712 0.442
0.604 0.402 0.170
0.396 0.598 0.830
```



12.
A relaxed TlBi2H2 crystal, computed with PBE.

volume = 24.5 A^3/atom
DFT total energy = -3.11 eV/atom
crystal system = triclinic
SG = No. 2

POSCAR file:
```
TlBi2H2
1.0
3.328 0.059 0.199
1.445 11.382 -0.187
-0.196 0.619 3.211
Bi Tl H
2 1 2
direct
0.316 0.355 0.828
0.684 0.645 0.172
0.000 0.000 0.000
0.397 0.186 0.926
0.603 0.814 0.074
```



13.
A relaxed Tl5BiH4 crystal, computed with PBE.

volume = 24.7 A^3/atom
DFT total energy = -2.60 eV/atom
crystal system = tetragonal
SG = No. 79

POSCAR file:
```
Tl5BiH4
1.0
-8.451 0.866 -2.602
-5.278 -4.413 0.505
-5.469 2.459 3.411
Tl H Bi
5 4 1
direct
0.313 0.000 0.000
0.840 0.515 0.009
0.356 0.009 0.485
0.365 0.485 0.991
0.850 0.991 0.515
0.219 0.264 0.254
0.473 0.746 0.264
0.736 0.736 0.746
0.482 0.254 0.736
0.856 0.000 0.000
```



14.
A relaxed TlBi2H2 crystal, computed with PBE.

volume = 20.4 A^3/atom
DFT total energy = -2.89 eV/atom
crystal system = tetragonal
SG = No. 139

POSCAR file:
```
TlBi2H2
1.0
-0.382 -4.374 0.377
0.080 -0.386 -4.390
5.081 -2.825 -1.872
Bi H Tl
2 2 1
direct
0.341 0.341 0.318
0.659 0.659 0.682
0.750 0.250 0.500
0.250 0.750 0.500
0.000 0.000 0.000
```



15.
A relaxed Tl3BiH6 crystal, computed with PBE.

volume = 16.5 A^3/atom
DFT total energy = -2.61 eV/atom
crystal system = trigonal
SG = No. 167

POSCAR file:
```
Tl3BiH6
1.0
7.247 -1.066 -1.823
-2.060 7.030 -1.823
-0.928 -1.066 7.415
H Tl Bi
12 6 2
direct
0.515 0.543 0.798
0.798 0.515 0.543
0.298 0.043 0.015
0.043 0.015 0.298
0.457 0.202 0.485
0.702 0.957 0.985
0.485 0.457 0.202
0.543 0.798 0.515
0.202 0.485 0.457
0.985 0.702 0.957
0.015 0.298 0.043
0.957 0.985 0.702
0.750 0.308 0.192
0.250 0.692 0.808
0.692 0.808 0.250
0.308 0.192 0.750
0.192 0.750 0.308
0.808 0.250 0.692
0.500 0.500 0.500
0.000 0.000 0.000
```



16.
A relaxed Tl3BiH crystal, computed with PBE.

volume = 27.3 A^3/atom
DFT total energy = -2.71 eV/atom
crystal system = monoclinic
SG = No. 11

POSCAR file:
```
Tl3BiH
1.0
-1.978 4.089 1.988
-6.333 -3.176 0.230
3.329 -1.814 7.044
H Tl Bi
2 6 2
direct
0.750 0.147 0.576
0.250 0.853 0.424
0.750 0.607 0.374
0.750 0.245 0.900
0.250 0.755 0.100
0.250 0.939 0.678
0.750 0.061 0.322
0.250 0.393 0.626
0.250 0.295 0.208
0.750 0.705 0.792
```



17.
A relaxed TlBiH crystal, computed with PBE.

volume = 24.6 A^3/atom
DFT total energy = -2.94 eV/atom
crystal system = triclinic
SG = No. 2

POSCAR file:
```
TlBiH
1.0
-3.619 -4.066 -1.092
3.861 0.186 0.982
-2.309 -0.543 9.208
H Tl Bi
2 2 2
direct
0.249 0.697 0.299
0.750 0.697 0.297
0.755 0.203 0.161
0.244 0.190 0.434
0.246 0.192 0.882
0.753 0.201 0.714
```



18.
A relaxed Tl2BiH crystal, computed with PBE.

volume = 26.3 A^3/atom
DFT total energy = -2.58 eV/atom
crystal system = cubic
SG = No. 225

POSCAR file:
```
Tl2BiH
1.0
-3.779 -1.614 3.346
-4.615 -1.799 -1.883
-1.186 -5.151 0.373
Tl H Bi
2 1 1
direct
0.750 0.750 0.750
0.250 0.250 0.250
0.000 0.000 0.000
0.500 0.500 0.500
```



19.
A relaxed Tl3BiH3 crystal, computed with PBE.

volume = 21.4 A^3/atom
DFT total energy = -2.69 eV/atom
crystal system = trigonal
SG = No. 166

POSCAR file:
```
Tl3BiH3
1.0
-5.373 3.374 3.673
-5.613 -3.884 2.672
-0.435 -1.038 7.633
H Tl Bi
6 6 2
direct
0.310 0.310 0.442
0.939 0.310 0.442
0.690 0.690 0.558
0.310 0.939 0.442
0.690 0.061 0.558
0.061 0.690 0.558
0.240 0.734 0.786
0.760 0.760 0.214
0.734 0.240 0.786
0.240 0.240 0.786
0.266 0.760 0.214
0.760 0.266 0.214
0.250 0.250 0.250
0.750 0.750 0.750
```



20.
A relaxed TlBi3H crystal, computed with PBE.

volume = 26.1 A^3/atom
DFT total energy = -3.19 eV/atom
crystal system = cubic
SG = No. 221

POSCAR file:
```
TlBi3H
1.0
5.073 0.000 0.000
0.000 5.073 0.000
0.000 0.000 5.073
Bi H Tl
3 1 1
direct
0.500 0.000 0.000
0.000 0.500 0.000
0.000 0.000 0.500
0.000 0.000 0.000
0.500 0.500 0.500
```



21.
A relaxed Tl2BiH crystal, computed with PBE.

volume = 26.3 A^3/atom
DFT total energy = -2.77 eV/atom
crystal system = monoclinic
SG = No. 12

POSCAR file:
```
Tl2BiH
1.0
3.336 0.000 0.612
0.869 7.993 4.666
-0.153 4.234 10.241
Bi H Tl
2 2 4
direct
0.753 0.213 0.280
0.247 0.787 0.720
0.945 0.413 0.698
0.055 0.587 0.302
0.411 0.770 0.408
0.410 0.270 0.910
0.590 0.730 0.090
0.589 0.230 0.592
```